[1]
Ba2NaLiBr6, relaxed, DFT GGA-PBE; symmetry = P2_1/c (14); E_form (uncorrected) = -1929 meV/atom
1.0
7.301 0.000 -0.022
0.000 8.292 0.000
0.031 0.000 10.555
Br Li Na Ba
12 2 2 4
Direct
0.685 0.322 0.946
0.671 0.312 0.558
0.612 0.028 0.261
0.329 0.688 0.442
0.112 0.472 0.761
0.171 0.188 0.058
0.185 0.178 0.446
0.388 0.972 0.739
0.888 0.528 0.239
0.829 0.812 0.942
0.315 0.678 0.054
0.815 0.822 0.554
0.000 0.500 0.000
0.500 0.000 0.500
0.000 0.500 0.500
0.500 0.000 0.000
0.965 0.102 0.750
0.035 0.898 0.250
0.535 0.602 0.750
0.465 0.398 0.250

***

[2]
TaRhCl2, relaxed, DFT GGA-PBE; symmetry = R3m (160); E_form (uncorrected) = -591 meV/atom; distance to the lowest polymorph of the same formula = 0.0680 eV/atom
1.0
-2.366 -7.416 3.604
0.293 -8.430 1.563
0.932 -7.092 4.736
Cl Rh Ta
2 1 1
Direct
0.224 0.224 0.224
0.025 0.025 0.025
0.487 0.487 0.487
0.764 0.764 0.764

***

[3]
InAg2Te, relaxed, DFT GGA-PBE; symmetry = Pmm2 (25); E_form (uncorrected) = 73 meV/atom; distance to the lowest polymorph of the same formula = 0.0650 eV/atom
1.0
3.095 0.000 0.000
0.000 4.182 0.000
0.000 0.000 7.263
Ag Te In
2 1 1
Direct
0.000 0.000 0.027
0.500 0.500 0.228
0.500 0.500 0.793
0.000 0.000 0.452

***

[4]
LaHICl, relaxed, DFT GGA-PBE; symmetry = Cm (8)
1.0
-3.665 -1.628 1.088
1.433 -0.508 -3.868
5.472 -5.221 2.724
Cl La I H
1 1 1 1
Direct
0.013 0.870 0.883
0.827 0.278 0.105
0.353 0.042 0.395
0.499 0.614 0.114

***

[5]
GaFeTe2I, relaxed, DFT GGA-PBE; symmetry = P4/mmm (123); E_form (uncorrected) = 208 meV/atom; distance to the lowest polymorph of the same formula = 0.0000 eV/atom
1.0
-4.136 1.186 -2.690
-2.752 0.072 4.263
1.243 5.923 0.702
Fe I Te Ga
1 1 2 1
Direct
0.000 0.000 0.000
0.000 0.000 0.500
0.500 0.000 0.000
0.000 0.500 0.000
0.500 0.500 0.500

***

[6]
NdTh2As3, relaxed, DFT GGA-PBE; symmetry = Immm (71); DFT formation energy = -1.45 eV/atom
1.0
4.254 0.000 0.000
0.000 6.016 0.000
-2.127 -3.008 6.401
As Th Nd
3 2 1
Direct
0.832 0.332 0.163
0.168 0.668 0.837
0.500 0.000 0.500
0.834 0.834 0.169
0.166 0.166 0.831
0.500 0.500 0.500

***

[7]
DyTcH, relaxed, DFT GGA-PBE; symmetry = P2_1/m (11)
1.0
-0.756 3.029 1.462
-0.200 -1.566 3.141
7.988 2.946 -1.974
Tc H Dy
2 2 2
Direct
0.750 0.251 0.501
0.250 0.749 0.499
0.750 0.358 0.106
0.250 0.642 0.894
0.250 0.929 0.179
0.750 0.071 0.821

***

[8]
GeHO2, relaxed, DFT GGA-PBE; symmetry = R-3m (166); distance to the lowest polymorph of the same formula = 1.3512 eV/atom
1.0
-4.290 3.121 -1.379
-4.939 2.054 1.200
-3.212 4.332 0.984
Ge H O
1 1 2
Direct
0.000 0.000 0.000
0.500 0.500 0.500
0.110 0.110 0.110
0.890 0.890 0.890

***

[9]
Ac2LaTbEr, relaxed, DFT GGA-PBE; symmetry = Pmma (51); DFT formation energy = 0.26 eV/atom
1.0
6.717 0.000 0.000
0.000 8.842 1.671
0.000 -1.205 6.376
Tb Ac Er La
2 4 2 2
Direct
0.810 0.500 0.250
0.190 0.500 0.750
0.283 0.296 0.250
0.283 0.704 0.250
0.717 0.296 0.750
0.717 0.704 0.750
0.000 0.000 0.000
0.000 0.000 0.500
0.577 0.000 0.250
0.423 0.000 0.750

***

[10]
Hf2Se2S, relaxed, DFT GGA-PBE; symmetry = Pnma (62); E_form (uncorrected) = -1231 meV/atom; distance to the lowest polymorph of the same formula = 0.0000 eV/atom
1.0
5.344 0.000 0.000
0.000 7.357 0.000
0.000 0.000 11.114
Hf Se S
8 8 4
Direct
0.750 0.918 0.759
0.250 0.626 0.571
0.250 0.582 0.259
0.750 0.874 0.071
0.750 0.374 0.429
0.250 0.082 0.241
0.750 0.418 0.741
0.250 0.126 0.929
0.250 0.404 0.764
0.750 0.596 0.236
0.750 0.096 0.264
0.750 0.178 0.935
0.250 0.904 0.736
0.250 0.322 0.435
0.750 0.678 0.565
0.250 0.822 0.065
0.250 0.846 0.404
0.750 0.654 0.904
0.750 0.154 0.596
0.250 0.346 0.096

***

[11]
Ac2Si2H, relaxed, DFT GGA-PBE; symmetry = C2/c (15)
1.0
-5.761 2.754 0.172
-1.567 -2.933 -5.527
1.098 -5.374 4.197
Ac Si H
4 4 2
Direct
0.831 0.053 0.211
0.169 0.947 0.789
0.381 0.553 0.211
0.619 0.447 0.789
0.047 0.429 0.658
0.389 0.071 0.342
0.611 0.929 0.658
0.953 0.571 0.342
0.496 0.250 0.000
0.504 0.750 0.000

***

[12]
ScZn2Ru2, relaxed, DFT GGA-PBE; symmetry = P4/mbm (127); distance to the lowest polymorph of the same formula = 0.0000 eV/atom; DFT formation energy = -0.16 eV/atom
1.0
-2.303 6.186 -1.952
-2.075 -2.665 -5.997
-2.894 -0.668 1.298
Sc Ru Zn
2 4 4
Direct
0.500 0.500 0.000
0.000 0.000 0.000
0.326 0.174 0.500
0.174 0.674 0.500
0.674 0.826 0.500
0.826 0.326 0.500
0.124 0.376 0.000
0.624 0.124 0.000
0.376 0.876 0.000
0.876 0.624 0.000

***

Calculated total energy (hartree per atom)
-0.1338 -0.2321 -0.1037 -0.1653 -0.1344 -0.2589 -0.2270 -0.1545 -0.1548 -0.2731 -0.1826 -0.2075